## LiTiCl3 (PBE-GGA)

Data for a relaxed LiTiCl3 crystal.

```
data_LiTiCl3
_chemical_formula_sum 'Li1 Ti1 Cl3'
_space_group_name_H-M_alt 'P m -3 m'
_space_group_IT_number 221
_space_group_name_Hall '-P 4 2 3'
_cell_length_a 4.645
_cell_length_b 4.645
_cell_length_c 4.645
_cell_angle_alpha 90.00
_cell_angle_beta 90.00
_cell_angle_gamma 90.00
loop_
_atom_site_label
_atom_site_fract_x
_atom_site_fract_y
_atom_site_fract_z
Li1 0.000 0.000 0.000
Ti1 0.500 0.500 0.500
Cl1 0.000 0.000 0.500
```

Summary:
- total energy (eV/atom) = -3.92
- spin magnetization (μB/cell) = 2.0
- formation energy (no corrections) (meV/atom) = -847
- energy above the most stable polymorph in this dataset (eV per atom) = 0.654



## NbTl2V2S6 (PBE-GGA)

Data for a relaxed NbTl2V2S6 crystal.

```
data_NbTl2V2S6
_chemical_formula_sum 'Nb2 Tl4 V4 S12'
_space_group_name_H-M_alt 'C 1 2/m 1'
_space_group_IT_number 12
_cell_length_a 5.791
_cell_length_b 10.225
_cell_length_c 8.113
_cell_angle_alpha 90.00
_cell_angle_beta 100.84
_cell_angle_gamma 90.00
loop_
_space_group_symop_operation_xyz
'x,y,z'
'-x,-y,-z'
'-x,y,-z'
'x,-y,z'
'x+1/2,y+1/2,z'
'-x+1/2,-y+1/2,-z'
'-x+1/2,y+1/2,-z'
'x+1/2,-y+1/2,z'
loop_
_atom_site_label
_atom_site_fract_x
_atom_site_fract_y
_atom_site_fract_z
Nb1 0.000 0.000 0.000
Tl1 0.000 0.167 0.500
V1 0.000 0.363 0.000
S1 0.211 0.500 0.198
S2 0.221 0.176 0.174
```

Summary:
- total energy (eV/atom) = -6.03
- spin magnetization (μB/cell) = 0.0
- formation energy (no corrections) (meV/atom) = -774



Look up the total energy of the first one.
-3.92 eV/atom